Entry 1:
The following is a PBE-GGA calculation of a relaxed BaNiBi2W crystal, from Alexandria.

Cell and atoms, written as POSCAR:
```
BaNiBi2W
1.0
5.3308 0.0000 0.0000
0.0000 5.3308 0.0000
0.0000 0.0000 6.0396
Ba Ni Bi W
1 1 2 1
Cartesian
0.0000 0.0000 0.0000 Ba
2.6654 2.6654 0.0000 Ni
0.0000 2.6654 3.0198 Bi
2.6654 0.0000 3.0198 Bi
0.0000 0.0000 3.0198 W
```

Summary:
V ... 34.3 Å³/atom
Energy ... -4.67 eV per atom
ΔH_f (0 K) ... 1.013 eV per atom


Entry 2:
The following is a PBE-GGA calculation of a relaxed K3SmNp3S8 crystal, from Alexandria.

Cell and atoms, written as POSCAR:
```
K3SmNp3S8
1.0
4.0700 2.3498 7.4277
-4.0700 2.3498 7.4277
0.0000 -4.6996 7.4277
K Sm Np S
3 1 3 8
Cartesian
-2.0350 -1.1749 7.4277 K
-2.0350 1.1749 14.8554 K
0.0000 2.3498 7.4277 K
0.0000 0.0000 11.1415 Sm
-4.0700 0.0000 11.1415 Np
-2.0350 1.1749 3.7138 Np
2.0350 1.1749 3.7138 Np
-2.0754 -1.1982 12.6060 S
0.0000 0.0000 5.1787 S
0.0000 -2.3965 9.6770 S
-2.0754 1.1982 9.6770 S
2.0754 -1.1982 12.6060 S
0.0000 2.3965 12.6060 S
0.0000 0.0000 17.1044 S
2.0754 1.1982 9.6770 S
```

Summary:
V ... 28.4 Å³/atom
Energy ... -6.84 eV per atom


Entry 3:
The following is a PBE-GGA calculation of a relaxed Pr2SCl crystal, from Alexandria.

Cell and atoms, written as POSCAR:
```
Pr2SCl
1.0
2.0131 1.1622 7.2308
-2.0131 1.1622 7.2308
0.0000 -2.3245 7.2308
Pr S Cl
2 1 1
Cartesian
0.0000 0.0000 5.1632 Pr
0.0000 0.0000 16.5293 Pr
0.0000 0.0000 10.8462 S
0.0000 0.0000 0.0000 Cl
```

Summary:
V ... 25.4 Å³/atom
Polymorph energy (0 for the lowest one) ... 0.000 eV per formula unit
Energy ... -5.60 eV per atom


Entry 4:
The following is a PBE-GGA calculation of a relaxed LiZn2Pd7 crystal, from Alexandria.

Cell and atoms, written as POSCAR:
```
LiZn2Pd7
1.0
3.6170 -6.2512 0.0000
3.6170 6.2512 0.0000
0.0000 0.0000 4.2273
Li Zn Pd
1 2 7
Cartesian
0.0000 0.0000 0.0000 Li
3.6170 2.5108 2.1136 Zn
3.6170 -2.5108 2.1136 Zn
1.3520 1.3854 2.1136 Pd
3.6170 3.8028 0.0000 Pd
1.3520 -1.3854 2.1136 Pd
3.6170 0.0000 2.1136 Pd
5.8820 1.3854 2.1136 Pd
3.6170 -3.8028 0.0000 Pd
5.8820 -1.3854 2.1136 Pd
```

Summary:
V ... 19.1 Å³/atom
Energy ... -3.94 eV per atom
ΔH_f (0 K) ... 0.137 eV per atom